## FeCuRu2 (GGA-PBE)

Data for an optimized crystal structure of FeCuRu2.

Geometry as POSCAR:
```
FeCuRu2
1.0
-1.725 0.892 3.753
-4.198 0.316 0.375
-2.165 -2.968 2.090
Cu Fe Ru
1 1 2
Cartesian
-4.044 -0.880 3.109
-6.066 -1.319 4.663
0.000 0.000 0.000
-2.022 -0.440 1.554
```

## Properties
Crystal system: cubic
VASP energy, eV/atom: -7.4349


## FeCu3Ru (GGA-PBE)

Data for an optimized crystal structure of FeCu3Ru.

Geometry as POSCAR:
```
FeCu3Ru
1.0
-2.611 -3.421 -0.213
2.236 -1.902 3.154
-2.598 1.800 2.928
Ru Fe Cu
1 1 3
Cartesian
-1.486 -1.761 2.934
0.000 0.000 0.000
1.118 -0.951 1.577
-1.299 0.900 1.464
-1.305 -1.710 -0.106
```

## Properties
Crystal system: cubic
VASP energy, eV/atom: -4.6644


Number 1 is which compound?
FeCuRu2


Copy entry 1 word for word.
## FeCuRu2 (GGA-PBE)

Data for an optimized crystal structure of FeCuRu2.

Geometry as POSCAR:
```
FeCuRu2
1.0
-1.725 0.892 3.753
-4.198 0.316 0.375
-2.165 -2.968 2.090
Cu Fe Ru
1 1 2
Cartesian
-4.044 -0.880 3.109
-6.066 -1.319 4.663
0.000 0.000 0.000
-2.022 -0.440 1.554
```

## Properties
Crystal system: cubic
VASP energy, eV/atom: -7.4349